Computed, not measured: a relaxed structure of CeDyC at the PBE level of DFT.

Calculated values
**Energy**: -38.497 eV per cell
**Energy above the lowest structure with this stoichiometry**: 373 meV per atom
**Energy of formation from the pure elements**: 171 meV per atom
**N(E_F)**: 3.881 states/eV/f.u.

abc: 3.1721 3.1721 12.0336
angles: 90.00 90.00 90.00
Space group I4mm (No. 107)
Asymmetric unit:
Ce 0.0000 0.0000 0.0000 x2
Dy 0.0000 0.0000 0.2289 x2
C 0.0000 0.0000 0.6150 x2

---

Computed, not measured: a relaxed structure of CeDyC at the PBE level of DFT.

Calculated values
**Energy**: -61.098 eV per cell
**Energy above the lowest structure with this stoichiometry**: 0 meV per atom
**Energy of formation from the pure elements**: -202 meV per atom
**N(E_F)**: 4.310 states/eV/f.u.

abc: 3.5521 3.5521 19.0448
angles: 90.00 90.00 120.00
Space group R3m (No. 160, hexagonal axes)
Asymmetric unit:
Ce 0.0000 0.0000 0.0000 x3
Dy 0.0000 0.0000 0.4794 x3
C 0.0000 0.0000 0.7407 x3

---

Computed, not measured: a relaxed structure of Ce2DyC at the PBE level of DFT.

Calculated values
**Energy**: -77.459 eV per cell
**Energy of formation from the pure elements**: -31 meV per atom
**N(E_F)**: 8.759 states/eV/f.u.

abc: 3.5239 3.5239 28.1232
angles: 90.00 90.00 120.00
Space group R-3m (No. 166, hexagonal axes)
Asymmetric unit:
Ce 0.0000 0.0000 0.2183 x6
Dy 0.0000 0.0000 0.0000 x3
C 0.0000 0.0000 0.5000 x3

---

Computed, not measured: a relaxed structure of Ce2Dy2C3 at the PBE level of DFT.

Calculated values
**Energy**: -99.938 eV per cell
**Energy of formation from the pure elements**: -175 meV per atom
**N(E_F)**: 6.149 states/eV/f.u.

abc: 13.1339 3.6053 6.0977
angles: 90.00 113.72 90.00
Space group C2/m (No. 12)
Asymmetric unit:
Ce 0.1265 0.0000 0.4538 x4
Dy 0.1336 0.5000 0.9923 x4
C 0.0000 0.0000 0.0000 x2
C 0.2339 0.5000 0.7169 x4